No. 1
TmScSeO2: optimized geometry, PBE.

Cell: 3.919 6.323 7.283 Å, 109.71 90.00 90.00°
Element x y z (fractional)
O  0.750  0.517  0.871
O  0.250  0.483  0.129
O  0.250  0.474  0.609
O  0.750  0.526  0.391
Sc  0.250  0.660  0.424
Sc  0.750  0.340  0.576
Tm  0.250  0.685  0.932
Tm  0.750  0.315  0.068
Se  0.250  0.036  0.756
Se  0.750  0.964  0.244

Values from the calculation:
The value obtained for the formation energy from raw total energies is -3.05 eV/atom.

No. 2
Tm2ScSe2O2: optimized geometry, PBE.

Cell: 4.041 4.041 7.974 Å, 104.68 104.68 90.00°
Element x y z (fractional)
Tm  0.379  0.379  0.757
Tm  0.621  0.621  0.243
Sc  0.000  0.000  0.000
Se  0.181  0.181  0.362
Se  0.819  0.819  0.638
O  0.500  0.000  0.000
O  0.000  0.500  0.000

Values from the calculation:
The value obtained for the formation energy from raw total energies is -2.36 eV/atom.